ZrOsF2 | PBE | relaxed

The volume comes out at 13.78 Å³/atom. Its density is 9.62 g/cm³. The uncorrected formation energy is -0.915 eV/atom. The calculation puts the total energy at -6.79 eV/atom. The calculation puts the density of states at the Fermi level at 1.429 states/eV/f.u. The calculation puts the energy above the most stable polymorph in this dataset at 75 meV per atom.

The space group is I-42d (No. 122) and the conventional cell measures 3.7469, 3.7469 and 15.7088 Å, with angles of 90.00, 90.00 and 90.00 degrees. The distinct sites, in fractional coordinates, are Zr at (0.0000, 0.0000, 0.0000), Os at (0.0000, 0.0000, 0.5000) and F at (0.2396, 0.2500, 0.1250).